No. 1
LiYRu2: PBEsol geometry, meta-GGA SCAN.

Lattice parameters (Å, degrees): 3.308 3.308 5.874 90.00 90.00 90.00
Sites, in units of the cell vectors:
Li 0.000 0.000 0.000
Y 0.000 0.000 0.500
Ru 0.500 0.500 0.203
Ru 0.500 0.500 0.797

## Properties
As for the theoretical density: 7.7 g/cm3. The volume is 64.3 Å³/cell. For the excess energy over the best structure of this formula in the dataset, the calculation gives 0 meV per atom. Its crystal system is tetragonal.


No. 2
CaGaN3: PBEsol geometry, meta-GGA SCAN.

Lattice parameters (Å, degrees): 4.552 4.552 4.552 90.00 90.00 90.00
Sites, in units of the cell vectors:
Ca 0.000 0.000 0.000
Ga 0.500 0.500 0.500
N 0.000 0.000 0.500
N 0.000 0.500 0.000
N 0.500 0.000 0.000

## Properties
As for the theoretical density: 2.7 g/cm3. The volume is 94.3 Å³/cell. The value obtained for the formation energy (no corrections) is 1.742 eV per atom. Its crystal system is cubic.


No. 3
MgH2I: PBEsol geometry, meta-GGA SCAN.

Lattice parameters (Å, degrees): 5.832 5.832 5.832 60.00 60.00 60.00
Sites, in units of the cell vectors:
Mg 0.125 0.125 0.125
Mg 0.875 0.875 0.875
H 0.000 0.000 0.000
H 0.000 0.000 0.500
H 0.000 0.500 0.000
H 0.500 0.000 0.000
I 0.375 0.375 0.375
I 0.625 0.625 0.625

## Properties
As for the theoretical density: 3.6 g/cm3. The value obtained for the uncorrected energy is -96.54 eV/cell. The volume is 140.3 Å³/cell. Its crystal system is cubic.


The lowest theoretical density belongs to which entry? CaGaN3


Copy entry 1 word for word.
LiYRu2: PBEsol geometry, meta-GGA SCAN.

Lattice parameters (Å, degrees): 3.308 3.308 5.874 90.00 90.00 90.00
Sites, in units of the cell vectors:
Li 0.000 0.000 0.000
Y 0.000 0.000 0.500
Ru 0.500 0.500 0.203
Ru 0.500 0.500 0.797

## Properties
As for the theoretical density: 7.7 g/cm3. The volume is 64.3 Å³/cell. For the excess energy over the best structure of this formula in the dataset, the calculation gives 0 meV per atom. Its crystal system is tetragonal.


Among the records above, which one has the lowest volume? LiYRu2